Tc2H2Au | PBE-GGA | relaxed Values from VASP.

```
&SYSTEM
  ibrav = 0, nat = 5, ntyp = 3
/
ATOMIC_SPECIES
Au 196.97 Au.upf
Tc 98.00 Tc.upf
H 1.01 H.upf
ATOMIC_POSITIONS crystal
Au 0.000 0.000 0.000
Tc 0.337 0.337 0.325
Tc 0.663 0.663 0.675
H 0.750 0.250 0.500
H 0.250 0.750 0.500
CELL_PARAMETERS angstrom
3.470 0.000 0.000
0.000 3.470 0.000
1.735 1.735 4.330
```

Results
Energy = -5.91 eV/atom

=====

TcHAu2 | PBE-GGA | relaxed Values from VASP.

```
&SYSTEM
  ibrav = 0, nat = 8, ntyp = 3
/
ATOMIC_SPECIES
Au 196.97 Au.upf
Tc 98.00 Tc.upf
H 1.01 H.upf
ATOMIC_POSITIONS crystal
Au 0.215 0.625 0.250
Au 0.375 0.465 0.750
Tc 0.750 0.250 0.500
Au 0.535 0.125 0.250
Au 0.875 0.785 0.750
H 0.250 0.750 0.500
H 0.500 0.500 0.000
Tc 0.000 0.000 0.000
CELL_PARAMETERS angstrom
-4.969 -4.305 0.668
1.609 -0.873 6.350
-3.297 -0.616 4.190
```

Results
ΔE to the lowest computed polymorph = 0.000 eV/atom
Energy = -4.35 eV/atom

=====

TiTc2HAu | PBE-GGA | relaxed Values from VASP.

```
&SYSTEM
  ibrav = 0, nat = 5, ntyp = 4
/
ATOMIC_SPECIES
Au 196.97 Au.upf
Tc 98.00 Tc.upf
Ti 47.87 Ti.upf
H 1.01 H.upf
ATOMIC_POSITIONS crystal
Au 0.500 0.500 0.500
Tc 0.500 0.000 0.000
Ti 0.000 0.000 0.500
Tc 0.000 0.500 0.000
H 0.000 0.000 0.000
CELL_PARAMETERS angstrom
3.956 0.000 0.000
0.000 3.956 0.000
0.000 0.000 4.052
```

Results
Energy = -7.21 eV/atom

=====

V2TcHAu | PBE-GGA | relaxed Values from VASP.

```
&SYSTEM
  ibrav = 0, nat = 5, ntyp = 4
/
ATOMIC_SPECIES
V 50.94 V.upf
H 1.01 H.upf
Tc 98.00 Tc.upf
Au 196.97 Au.upf
ATOMIC_POSITIONS crystal
V 0.500 0.000 0.000
H 0.000 0.000 0.000
V 0.000 0.500 0.000
Tc 0.000 0.000 0.500
Au 0.500 0.500 0.500
CELL_PARAMETERS angstrom
-0.351 0.531 3.900
0.449 -3.885 0.570
3.815 0.482 0.278
```

Results
Energy = -7.12 eV/atom

=====

Y2TcHAu | PBE-GGA | relaxed Values from VASP.

```
&SYSTEM
  ibrav = 0, nat = 5, ntyp = 4
/
ATOMIC_SPECIES
Au 196.97 Au.upf
Y 88.91 Y.upf
H 1.01 H.upf
Tc 98.00 Tc.upf
ATOMIC_POSITIONS crystal
Au 0.500 0.500 0.500
Y 0.500 0.000 0.000
H 0.000 0.000 0.000
Tc 0.000 0.000 0.500
Y 0.000 0.500 0.000
CELL_PARAMETERS angstrom
5.012 0.000 0.000
0.000 5.012 0.000
0.000 0.000 3.579
```

Results
Energy = -6.44 eV/atom

=====

Zn2TcHAu | PBE-GGA | relaxed Values from VASP.

```
&SYSTEM
  ibrav = 0, nat = 5, ntyp = 4
/
ATOMIC_SPECIES
H 1.01 H.upf
Zn 65.41 Zn.upf
Tc 98.00 Tc.upf
Au 196.97 Au.upf
ATOMIC_POSITIONS crystal
H 0.000 0.000 0.000
Zn 0.500 0.000 0.000
Zn 0.000 0.500 0.000
Tc 0.000 0.000 0.500
Au 0.500 0.500 0.500
CELL_PARAMETERS angstrom
4.195 0.000 0.000
0.000 4.195 0.000
0.000 0.000 3.590
```

Results
Energy = -3.86 eV/atom